[1]
The following is a PBE calculation of AgHgPt2 after structural relaxation, from the Alexandria database.

Values from the calculation:
Electronic total energy   -3.753 eV per atom
SG   No. 166

Cell: 9.525 9.525 9.525 Å, 17.65 17.65 17.65°
Sites, in units of the cell vectors:
Ag1 0.000 0.000 0.000
Hg1 0.500 0.500 0.500
Pt1 0.251 0.251 0.251
Pt2 0.749 0.749 0.749


[2]
The following is a PBE calculation of CaZr4Ru5 after structural relaxation, from the Alexandria database.

Values from the calculation:
Electronic total energy   -8.747 eV per atom
SG   No. 123

Cell: 3.292 3.292 16.758 Å, 90.00 90.00 90.00°
Sites, in units of the cell vectors:
Ca1 0.000 0.000 0.000
Zr1 0.000 0.000 0.204
Zr2 0.000 0.000 0.401
Zr3 0.000 0.000 0.599
Zr4 0.000 0.000 0.796
Ru1 0.500 0.500 0.120
Ru2 0.500 0.500 0.308
Ru3 0.500 0.500 0.500
Ru4 0.500 0.500 0.692
Ru5 0.500 0.500 0.880


Please write out number 1 again, unchanged.
The following is a PBE calculation of AgHgPt2 after structural relaxation, from the Alexandria database.

Values from the calculation:
Electronic total energy   -3.753 eV per atom
SG   No. 166

Cell: 9.525 9.525 9.525 Å, 17.65 17.65 17.65°
Sites, in units of the cell vectors:
Ag1 0.000 0.000 0.000
Hg1 0.500 0.500 0.500
Pt1 0.251 0.251 0.251
Pt2 0.749 0.749 0.749